VASP calculation (PBEsol) on crystalline RbErS2 at its relaxed geometry.

It has space group R-3m (No. 166, hexagonal axes), with a = 3.9771 Å, b = 3.9771 Å, c = 22.6601 Å, α = 90.00°, β = 90.00° and γ = 120.00°. The distinct sites, in fractional coordinates, are Rb at (0.0000, 0.0000, 0.0000), Er at (0.0000, 0.0000, 0.5000) and S at (0.0000, 0.0000, 0.2307).

For the calculated volume, the calculation gives 310.4 Å³ per cell. For the total moment, the calculation gives 0.000 μB per atom. The uncorrected formation energy is -43.5 kcal/mol of atoms.

VASP calculation (PBEsol) on crystalline RbErSe2 at its relaxed geometry.

It has space group R-3m (No. 166, hexagonal axes), with a = 4.1321 Å, b = 4.1321 Å, c = 23.5694 Å, α = 90.00°, β = 90.00° and γ = 120.00°. The distinct sites, in fractional coordinates, are Rb at (0.0000, 0.0000, 0.0000), Er at (0.0000, 0.0000, 0.5000) and Se at (0.0000, 0.0000, 0.2319).

For the calculated volume, the calculation gives 348.5 Å³ per cell. For the total moment, the calculation gives 0.000 μB per atom. The uncorrected formation energy is -39.9 kcal/mol of atoms.

VASP calculation (PBEsol) on crystalline Er2Re3Si5 at its relaxed geometry.

It has space group P4/mnc (No. 128), with a = 10.885 Å, b = 10.885 Å, c = 5.423 Å, α = 90.00°, β = 90.00° and γ = 90.00°. The distinct sites, in fractional coordinates, are Er at (0.078, 0.237, 0.000), Re at (0.000, 0.500, 0.250), Re at (0.123, 0.853, 0.500), Si at (0.000, 0.000, 0.238), Si at (0.030, 0.313, 0.500) and Si at (0.172, 0.672, 0.250).

For the calculated volume, the calculation gives 642.5 Å³ per cell. For the total moment, the calculation gives 0.000 μB per atom. The uncorrected formation energy is -15.0 kcal/mol of atoms.

VASP calculation (PBEsol) on crystalline ErRh2 at its relaxed geometry.

It has space group Fd-3m (No. 227, origin choice 2), with a = 7.392 Å, b = 7.392 Å, c = 7.392 Å, α = 90.00°, β = 90.00° and γ = 90.00°. The distinct sites, in fractional coordinates, are Er at (0.125, 0.125, 0.125) and Rh at (0.000, 0.000, 0.500).

For the calculated volume, the calculation gives 404.0 Å³ per cell. For the total moment, the calculation gives 0.000 μB per atom. The value obtained for the formation energy is -2.3 eV/f.u.

VASP calculation (PBEsol) on crystalline Er7Rh3 at its relaxed geometry.

It has space group P6_3mc (No. 186), with a = 9.5514 Å, b = 9.5514 Å, c = 5.9830 Å, α = 90.00°, β = 90.00° and γ = 120.00°. The distinct sites, in fractional coordinates, are Er at (0.0818, 0.5409, 0.0000), Er at (0.1234, 0.2468, 0.2997), Er at (0.3333, 0.6667, 0.5079) and Rh at (0.1899, 0.3799, 0.7338).

For the calculated volume, the calculation gives 472.7 Å³ per cell. For the total moment, the calculation gives 0.000 μB per atom. The value obtained for the formation energy is -6.2 eV/f.u.

VASP calculation (PBEsol) on crystalline ErSbRh at its relaxed geometry.

It has space group Pnma (No. 62), with a = 6.986 Å, b = 4.502 Å, c = 7.697 Å, α = 90.00°, β = 90.00° and γ = 90.00°. The distinct sites, in fractional coordinates, are Er at (0.009, 0.250, 0.201), Sb at (0.193, 0.250, 0.591) and Rh at (0.199, 0.750, 0.419).

For the calculated volume, the calculation gives 242.1 Å³ per cell. For the total moment, the calculation gives 0.000 μB per atom. The uncorrected formation energy is -23.5 kcal/mol of atoms.

VASP calculation (PBEsol) on crystalline Er2Si5Rh3 at its relaxed geometry.

It has space group Ibam (No. 72), with a = 9.779 Å, b = 11.480 Å, c = 5.635 Å, α = 90.00°, β = 90.00° and γ = 90.00°. The distinct sites, in fractional coordinates, are Er at (0.231, 0.133, 0.000), Si at (0.000, 0.000, 0.250), Si at (0.000, 0.280, 0.250), Si at (0.160, 0.396, 0.000), Rh at (0.000, 0.500, 0.250) and Rh at (0.109, 0.141, 0.500).

For the calculated volume, the calculation gives 632.5 Å³ per cell. For the total moment, the calculation gives 0.000 μB per atom. The uncorrected formation energy is -23.8 kcal/mol of atoms.

VASP calculation (PBEsol) on crystalline ErSnRh at its relaxed geometry.

It has space group P-62m (No. 189), with a = 7.4842 Å, b = 7.4842 Å, c = 3.6892 Å, α = 90.00°, β = 90.00° and γ = 120.00°. The distinct sites, in fractional coordinates, are Er at (0.0000, 0.4041, 0.0000), Sn at (0.0000, 0.7353, 0.5000), Rh at (0.0000, 0.0000, 0.0000) and Rh at (0.3333, 0.6667, 0.5000).

For the calculated volume, the calculation gives 179.0 Å³ per cell. For the total moment, the calculation gives 0.000 μB per atom. The value obtained for the formation energy is -2.8 eV/f.u.